# 1
Compound: Li2Pd13
Source: the Alexandria database
Functional: PBE-GGA
Structure: relaxed

Properties
- formation enthalpy at 0 K (kJ/mol of atoms) = -12.30
- ρ (g/cm³) = 10.28
- SG = No. 2

The structure in extended XYZ format:
```
15
Lattice="4.8171 0.0000 0.0000 0.0148 6.7796 0.0000 0.8199 2.2225 6.9103" Properties=species:S:1:pos:R:3 pbc="T T T"
Li 0.4187 1.1567 0.7231
Li 5.2330 7.8454 6.1872
Pd 0.4099 1.1112 3.4551
Pd 1.2171 3.3498 4.8780
Pd 1.2119 3.3725 2.0525
Pd 2.0208 5.6278 6.2236
Pd 2.0332 5.6512 3.4503
Pd 1.9933 5.6691 0.6762
Pd 2.8379 7.8954 4.8601
Pd 2.8139 1.1067 2.0501
Pd 3.6584 3.3330 6.2340
Pd 3.6185 3.3510 3.4599
Pd 3.6310 3.3744 0.6867
Pd 4.4399 5.6297 4.8578
Pd 4.4347 5.6523 2.0323
```

---

# 2
Compound: TlH2Br3
Source: the Alexandria database
Functional: PBE-GGA
Structure: relaxed

Properties
- total DFT energy (no corrections) (Ha/atom) = -0.1024
- ρ (g/cm³) = 4.40
- SG = No. 15

The structure in extended XYZ format:
```
12
Lattice="5.5016 -4.2707 0.0000 5.5016 4.2707 0.0000 -4.0009 0.0000 7.1583" Properties=species:S:1:pos:R:3 pbc="T T T"
Tl 2.5010 3.1088 5.3687
Tl 4.5014 -3.1088 1.7896
H 3.2144 0.7198 1.4653
H 1.2140 -0.7198 5.0444
H 5.7884 0.7198 2.1139
H 3.7880 -0.7198 5.6930
Br 0.1744 0.4653 4.9446
Br 4.5014 2.0722 1.7896
Br 2.1748 -0.4653 1.3655
Br 4.8276 0.4653 5.7928
Br 2.5010 -2.0722 5.3687
Br 6.8280 -0.4653 2.2137
```

---

# 3
Compound: BaTc2
Source: the Alexandria database
Functional: PBE-GGA
Structure: relaxed

Properties
- formation enthalpy at 0 K (kJ/mol of atoms) = 234.86
- offset from the most stable computed form (meV/atom) = 2028
- ρ (g/cm³) = 8.18
- SG = No. 225

The structure in extended XYZ format:
```
3
Lattice="0.0000 3.2338 3.2338 3.2338 0.0000 3.2338 3.2338 3.2338 0.0000" Properties=species:S:1:pos:R:3 pbc="T T T"
Ba 0.0000 0.0000 0.0000
Tc 1.6169 1.6169 1.6169
Tc 4.8507 4.8507 4.8507
```

---

# 4
Compound: MgFeSe2
Source: the Alexandria database
Functional: PBE-GGA
Structure: relaxed

Properties
- total DFT energy (no corrections) (Ha/atom) = -0.1644
- ρ (g/cm³) = 4.63
- SG = No. 166

The structure in extended XYZ format:
```
4
Lattice="1.7581 1.0151 7.9725 -1.7581 1.0151 7.9725 0.0000 -2.0301 7.9725" Properties=species:S:1:pos:R:3 pbc="T T T"
Mg 0.0000 0.0000 0.0000
Fe 0.0000 0.0000 11.9588
Se 0.0000 0.0000 2.6744
Se 0.0000 0.0000 21.2432
```

---

# 5
Compound: ZnIr2O4
Source: the Alexandria database
Functional: PBE-GGA
Structure: relaxed

Properties
- total DFT energy (no corrections) (Ha/atom) = -0.2274
- ρ (g/cm³) = 10.18
- SG = No. 227

The structure in extended XYZ format:
```
14
Lattice="0.0000 4.3759 4.3759 4.3759 0.0000 4.3759 4.3759 4.3759 0.0000" Properties=species:S:1:pos:R:3 pbc="T T T"
Zn 1.0940 1.0940 1.0940
Zn 7.6578 7.6578 7.6578
Ir 4.3759 2.1880 2.1880
Ir 2.1880 4.3759 2.1880
Ir 2.1880 2.1880 4.3759
Ir 4.3759 4.3759 4.3759
O 2.2895 2.2895 2.2895
O 4.2744 4.2744 2.2895
O 4.2744 2.2895 4.2744
O 6.4623 4.4774 4.4774
O 2.2895 4.2744 4.2744
O 4.4774 6.4623 4.4774
O 4.4774 4.4774 6.4623
O 6.4623 6.4623 6.4623
```

---

# 6
Compound: MnZn2Pt
Source: the Alexandria database
Functional: PBE-GGA
Structure: relaxed

Properties
- formation enthalpy at 0 K (kJ/mol of atoms) = -28.21
- ρ (g/cm³) = 10.93
- SG = No. 119

The structure in extended XYZ format:
```
4
Lattice="-1.9737 1.9737 3.7119 1.9737 -1.9737 3.7119 1.9737 1.9737 -3.7119" Properties=species:S:1:pos:R:3 pbc="T T T"
Mn 0.0000 0.0000 0.0000
Zn 1.9737 0.0000 1.8559
Zn 0.0000 0.0000 3.7119
Pt 0.0000 1.9737 1.8559
```

---

# 7
Compound: NdZrCo2
Source: the Alexandria database
Functional: PBE-GGA
Structure: relaxed

Properties
- formation enthalpy at 0 K (kJ/mol of atoms) = -1.77
- offset from the most stable computed form (meV/atom) = 100
- ρ (g/cm³) = 7.98
- SG = No. 123

The structure in extended XYZ format:
```
4
Lattice="4.7466 0.0000 0.0000 0.0000 4.7466 0.0000 0.0000 0.0000 3.2644" Properties=species:S:1:pos:R:3 pbc="T T T"
Nd 0.0000 0.0000 0.0000
Zr 2.3733 2.3733 0.0000
Co 0.0000 2.3733 1.6322
Co 2.3733 0.0000 1.6322
```

---

# 8
Compound: Li2Sn2Se3
Source: the Alexandria database
Functional: PBE-GGA
Structure: relaxed

Properties
- offset from the most stable computed form (meV/atom) = 53
- ρ (g/cm³) = 4.56
- SG = No. 14

The structure in extended XYZ format:
```
14
Lattice="6.7004 0.0000 0.0000 0.0000 8.2154 0.0000 -3.7052 0.0000 6.4555" Properties=species:S:1:pos:R:3 pbc="T T T"
Li -0.7926 0.9994 2.7756
Li -2.6452 3.1082 6.0034
Li 5.6404 5.1071 0.4522
Li 3.7877 7.2159 3.6799
Sn 0.2727 5.4632 3.9629
Sn 2.1253 6.8599 0.7351
Sn 0.8699 1.3555 5.7204
Sn 2.7225 2.7522 2.4926
Se -1.7969 0.7495 5.2679
Se 0.0557 3.3582 2.0402
Se 1.4976 0.0000 3.2278
Se 3.3502 4.1077 0.0000
Se 2.9395 4.8571 4.4154
Se 4.7921 7.4659 1.1876
```

---

What did the first record say?
Compound: Li2Pd13
Source: the Alexandria database
Functional: PBE-GGA
Structure: relaxed

Properties
- formation enthalpy at 0 K (kJ/mol of atoms) = -12.30
- ρ (g/cm³) = 10.28
- SG = No. 2

The structure in extended XYZ format:
```
15
Lattice="4.8171 0.0000 0.0000 0.0148 6.7796 0.0000 0.8199 2.2225 6.9103" Properties=species:S:1:pos:R:3 pbc="T T T"
Li 0.4187 1.1567 0.7231
Li 5.2330 7.8454 6.1872
Pd 0.4099 1.1112 3.4551
Pd 1.2171 3.3498 4.8780
Pd 1.2119 3.3725 2.0525
Pd 2.0208 5.6278 6.2236
Pd 2.0332 5.6512 3.4503
Pd 1.9933 5.6691 0.6762
Pd 2.8379 7.8954 4.8601
Pd 2.8139 1.1067 2.0501
Pd 3.6584 3.3330 6.2340
Pd 3.6185 3.3510 3.4599
Pd 3.6310 3.3744 0.6867
Pd 4.4399 5.6297 4.8578
Pd 4.4347 5.6523 2.0323
```